Here is a geometry-optimized PrNd2In3Te6 structure from Alexandria. Energies are from PBE.

Unit cell a=7.8522 b=7.8522 c=8.5260 alpha=98.83 beta=98.83 gamma=120.01
Positions (direct):
Te  0.7408  0.7408  0.2274
Te  0.9240  0.5890  0.7722
Te  0.4110  0.0760  0.2278
Te  0.5890  0.9240  0.7722
Te  0.0760  0.4110  0.2278
Te  0.2592  0.2592  0.7726
In  0.8336  0.1664  0.5000
In  0.1664  0.8336  0.5000
In  0.5000  0.5000  0.5000
Pr  0.0000  0.0000  0.0000
Nd  0.6667  0.3333  0.0000
Nd  0.3333  0.6667  0.0000

Computed properties:
Its symmetry is No. 12. The calculation puts the magnetization at 0.00 μB per atom. The value obtained for the density is 5.90 g/cm³. The calculation puts the total energy at -4.442 eV per atom.